1.
The following is a SCAN calculation of Te2MoRhN at its PBEsol-relaxed geometry, from Alexandria via LeMat-Bulk.

Calculated values
Space group: P4/mmm
N(E_F) (states/eV/f.u.): 2.46
Uncorrected formation energy (eV/atom): 0.633
V (Å³ per cell): 101

Cell lengths 3.5782, 5.3098, 5.3098 Å; angles 90.00, 90.00, 90.00 degrees
With the nearest neighbours (Å) after each atom.
Sites, in units of the cell vectors:
Mo  0.5000  0.5000  0.5000  8 Te 3.20, 2 Mo 3.58
Te  0.0000  0.0000  0.5000  2 Rh 2.65
Te  0.0000  0.5000  0.0000  2 Rh 2.65
Rh  0.0000  0.0000  0.0000  2 N 1.79
N  0.5000  0.0000  0.0000  2 Rh 1.79

2.
The following is a SCAN calculation of Ba2MgIr at its PBEsol-relaxed geometry, from Alexandria via LeMat-Bulk.

Calculated values
Space group: Cm
N(E_F) (states/eV/f.u.): 3.24
Energy relative to the elements (meV/atom): -221
V (Å³ per cell): 152

Cell lengths 4.5831, 4.5746, 8.7788 Å; angles 105.09, 90.00, 120.06 degrees
With the nearest neighbours (Å) after each atom.
Sites, in units of the cell vectors:
Mg  0.7916  0.5833  0.3752  3 Ir 2.64
Ir  0.4576  0.9153  0.3745  3 Mg 2.64
Ba  0.0428  0.0857  0.1273  3 Ir 3.35-3.36, 3 Mg 3.36
Ba  0.2079  0.4158  0.6229  3 Ir 3.36-3.37, 3 Mg 3.36

3.
The following is a SCAN calculation of Tc2PtW at its PBEsol-relaxed geometry, from Alexandria via LeMat-Bulk.

Calculated values
Space group: I-4m2
N(E_F) (states/eV/f.u.): 2.69
Relative energy among the computed polymorphs (eV/atom): 0.027
Energy relative to the elements (meV/atom): -209
V (Å³ per cell): 58

Cell lengths 3.8814, 3.8814, 4.7309 Å; angles 114.22, 114.22, 90.00 degrees
With the nearest neighbours (Å) after each atom.
Sites, in units of the cell vectors:
W  0.5000  0.5000  0.0000  8 Tc 2.73-2.74, 4 Pt 2.73
Pt  0.2500  0.7500  0.5000  4 W 2.73, 8 Tc 2.73-2.74
Tc  0.0000  0.0000  0.0000  4 Pt 2.73, 4 Tc 2.73, 4 W 2.74
Tc  0.7500  0.2500  0.5000  4 W 2.73, 4 Tc 2.73, 4 Pt 2.74

4.
The following is a SCAN calculation of HfSc2TlSn at its PBEsol-relaxed geometry, from Alexandria via LeMat-Bulk.

Calculated values
Space group: P4/mmm
N(E_F) (states/eV/f.u.): 2.73
Energy relative to the elements (meV/atom): 361
V (Å³ per cell): 142

Cell lengths 5.1968, 5.1968, 5.2510 Å; angles 90.00, 90.00, 90.00 degrees
With the nearest neighbours (Å) after each atom.
Sites, in units of the cell vectors:
Sc  0.0000  0.5000  0.0000  2 Sn 2.60
Sc  0.5000  0.0000  0.0000  2 Sn 2.60
Tl  0.5000  0.5000  0.5000  4 Hf 3.67, 8 Sc 3.69
Hf  0.0000  0.0000  0.5000  2 Sn 2.63
Sn  0.0000  0.0000  0.0000  4 Sc 2.60, 2 Hf 2.63